Record 1
Compound: Rb3Tl3Au2
Source: Alexandria via LeMat-Bulk
Functional: PBE
Structure: relaxed

Values from the calculation:
Crystal system: orthorhombic
ΔE_f (eV/atom): -0.174

a b c (Å): 7.0784 7.0784 18.1357
angles (deg): 90.00 90.00 138.80
Fractional coordinates of all 16 atoms:
Rb 0.0544 0.9456 0.6054
Rb 0.0544 0.9456 0.8946
Rb 0.3634 0.6366 0.7500
Rb 0.6366 0.3634 0.2500
Rb 0.9456 0.0544 0.1054
Rb 0.9456 0.0544 0.3946
Tl 0.3386 0.6614 0.5388
Tl 0.3386 0.6614 0.9612
Tl 0.3432 0.6568 0.2500
Tl 0.6568 0.3432 0.7500
Tl 0.6614 0.3386 0.0388
Tl 0.6614 0.3386 0.4612
Au 0.2380 0.7620 0.1096
Au 0.2380 0.7620 0.3904
Au 0.7620 0.2380 0.6096
Au 0.7620 0.2380 0.8904

=====

Record 2
Compound: AcHgH2
Source: Alexandria via LeMat-Bulk
Functional: PBE
Structure: relaxed

Values from the calculation:
Crystal system: orthorhombic
Uncorrected energy (eV/atom): -3.162

a b c (Å): 7.4395 5.7379 6.8706
angles (deg): 90.00 90.00 90.00
Fractional coordinates of all 16 atoms:
Ac 0.1715 0.2500 0.1356
Ac 0.3285 0.7500 0.6356
Ac 0.6715 0.2500 0.3644
Ac 0.8285 0.7500 0.8644
Hg 0.0644 0.2500 0.6145
Hg 0.4356 0.7500 0.1145
Hg 0.5644 0.2500 0.8855
Hg 0.9356 0.7500 0.3855
H 0.1147 0.5200 0.8546
H 0.1147 0.9800 0.8546
H 0.3853 0.0200 0.3546
H 0.3853 0.4800 0.3546
H 0.6147 0.5200 0.6454
H 0.6147 0.9800 0.6454
H 0.8853 0.0200 0.1454
H 0.8853 0.4800 0.1454

=====

Record 3
Compound: NdHo8C4
Source: Alexandria via LeMat-Bulk
Functional: PBE
Structure: relaxed

Values from the calculation:
Crystal system: monoclinic
ΔE_f (eV/atom): -0.199

a b c (Å): 9.1691 9.1691 12.3760
angles (deg): 131.22 131.22 22.57
Fractional coordinates of all 13 atoms:
Nd 0.0000 0.0000 0.0000
Ho 0.0412 0.0412 0.7309
Ho 0.2933 0.2933 0.9356
Ho 0.3352 0.3352 0.6511
Ho 0.3609 0.3609 0.4022
Ho 0.6391 0.6391 0.5978
Ho 0.6648 0.6648 0.3489
Ho 0.7067 0.7067 0.0644
Ho 0.9588 0.9588 0.2691
C 0.1490 0.1490 0.4685
C 0.3329 0.3329 0.1742
C 0.6671 0.6671 0.8258
C 0.8510 0.8510 0.5315

=====

Values of total magnetization, in order: 0.000; 0.000; 0.057, all in μB per atom.